The following is a DFT calculation (GGA-PBE) of an optimized crystal structure of ScFe2SbP. Values from VASP.

Calculated values
* size of the total moment: 5.5 μB per cell
* Fermi-level density of states: 6.53 states/eV/cell
* VASP energy: -5.615 eV per atom

Structure (Quantum ESPRESSO input):
```
&SYSTEM
  ibrav = 0, nat = 5, ntyp = 4
/
ATOMIC_SPECIES
Sc 44.96 Sc.upf
Sb 121.76 Sb.upf
Fe 55.84 Fe.upf
P 30.97 P.upf
CELL_PARAMETERS angstrom
4.6880 0.0000 0.0000
0.0000 5.4342 0.0000
0.0000 0.0000 4.6880
ATOMIC_POSITIONS angstrom
Sc 0.0000 2.7171 0.0000
Sb 0.0000 0.0000 0.0000
Fe 0.0000 0.0000 2.3440
Fe 2.3440 0.0000 0.0000
P 2.3440 2.7171 2.3440
```



The following is a DFT calculation (GGA-PBE) of an optimized crystal structure of FeSnSb2P. Values from VASP.

Calculated values
* size of the total moment: 3.0 μB per cell
* Fermi-level density of states: 5.51 states/eV/cell
* VASP energy: -4.244 eV per atom

Structure (Quantum ESPRESSO input):
```
&SYSTEM
  ibrav = 0, nat = 5, ntyp = 4
/
ATOMIC_SPECIES
Sb 121.76 Sb.upf
Sn 118.71 Sn.upf
P 30.97 P.upf
Fe 55.84 Fe.upf
CELL_PARAMETERS angstrom
-1.3849 -1.6245 4.6280
4.9009 -0.6506 1.2382
0.1957 4.7746 1.7345
ATOMIC_POSITIONS angstrom
Sb 2.4504 -0.3253 0.6191
Sb -0.6925 -0.8122 2.3140
Sn 0.0978 2.3873 0.8673
P 0.0000 0.0000 0.0000
Fe 1.8558 1.2497 3.8003
```



The following is a DFT calculation (GGA-PBE) of an optimized crystal structure of SrFeSb2P. Values from VASP.

Calculated values
* size of the total moment: 1.4 μB per cell
* Fermi-level density of states: 2.85 states/eV/cell
* VASP energy: -4.898 eV per atom

Structure (Quantum ESPRESSO input):
```
&SYSTEM
  ibrav = 0, nat = 5, ntyp = 4
/
ATOMIC_SPECIES
Sb 121.76 Sb.upf
Fe 55.84 Fe.upf
P 30.97 P.upf
Sr 87.62 Sr.upf
CELL_PARAMETERS angstrom
5.4826 0.0000 0.0000
0.0000 4.1912 0.0000
0.0000 0.0000 5.4826
ATOMIC_POSITIONS angstrom
Sb 0.0000 0.0000 2.7413
Sb 2.7413 0.0000 0.0000
Fe 0.0000 0.0000 0.0000
P 0.0000 2.0956 0.0000
Sr 2.7413 2.0956 2.7413
```



The following is a DFT calculation (GGA-PBE) of an optimized crystal structure of Sr2FeSbP. Values from VASP.

Calculated values
* size of the total moment: 4.0 μB per cell
* Fermi-level density of states: 11.97 states/eV/cell
* VASP energy: -4.079 eV per atom

Structure (Quantum ESPRESSO input):
```
&SYSTEM
  ibrav = 0, nat = 5, ntyp = 4
/
ATOMIC_SPECIES
Sb 121.76 Sb.upf
Fe 55.84 Fe.upf
P 30.97 P.upf
Sr 87.62 Sr.upf
CELL_PARAMETERS angstrom
6.1621 0.0000 0.0000
0.0000 4.8027 0.0000
0.0000 0.0000 6.1621
ATOMIC_POSITIONS angstrom
Sb 0.0000 0.0000 0.0000
Fe 0.0000 2.4014 0.0000
P 3.0810 2.4014 3.0810
Sr 0.0000 0.0000 3.0810
Sr 3.0810 0.0000 0.0000
```



> Which value of VASP energy does entry 4 give?

-4.079 eV per atom



> Which of these has the highest VASP energy?

Sr2FeSbP



> What is the Fermi-level density of states in the first record?

6.53 states/eV/cell